This record from Alexandria via LeMat-Bulk describes a geometry-optimized BaFeSe2O8 structure. The functional is PBE with a Hubbard U.

Calculated values
E: -5.73 eV/atom
V: 177 Å³ per cell

```
12
Lattice="2.574 1.486 7.693 -2.574 1.486 7.693 0.000 -2.972 7.693" Properties=species:S:1:pos:R:3 pbc="T T T"
Ba 0.000 0.000 0.000
Fe 0.000 0.000 11.540
Se 0.000 0.000 5.563
Se 0.000 0.000 17.517
O -1.693 -0.112 10.281
O -0.750 -1.522 12.798
O 0.000 0.000 7.249
O 0.944 -1.410 10.281
O -0.944 1.410 12.798
O 0.000 0.000 15.830
O 0.750 1.522 10.281
O 1.693 0.112 12.798
```